NaNbRhPb2: relaxed, PBE-GGA.

Output
- VASP energy: -3.906 eV/atom
- Spin magnetization: 3.07 μB/f.u.
- DOS(E_F): 1.2850 states/eV per atom
- Space-group type: P4/mmm
- Formation energy from the elements: 1.33 eV/atom

Unit cell a=5.4306 b=5.4497 c=5.4306 alpha=90.00 beta=90.00 gamma=90.00
Last column: nearest neighbours and their distance in Å.
Fractional coordinates of all 5 atoms:
Pb: 0.0000 0.0000 0.5000  2 Nb 2.72
Na: 0.0000 0.5000 0.0000  2 Nb 2.72
Nb: 0.0000 0.0000 0.0000  4 Pb 2.72, 2 Na 2.72
Rh: 0.5000 0.5000 0.5000  4 Na 3.84, 8 Pb 3.85
Pb: 0.5000 0.0000 0.0000  2 Nb 2.72